[1]
The following is a PBE calculation of an optimized crystal structure of TaTc2Ge2, from OQMD via LeMat-Bulk.

a = 5.4591 Å, b = 5.4591 Å, c = 5.4591 Å
α = 132.99°, β = 132.99°, γ = 68.68°
Last column: nearest neighbours and their distance in Å.
Positions (direct):
Ta1 0.0000 0.0000 0.0000  8 Ge 3.13, 10 Tc 3.28-3.38
Tc1 0.3754 0.3754 0.0000  1 Tc 2.25, 4 Ge 2.45
Tc2 0.6246 0.6246 0.0000  1 Tc 2.25, 4 Ge 2.45
Ge1 0.2500 0.7500 0.5000  4 Tc 2.45
Ge2 0.7500 0.2500 0.5000  4 Tc 2.45

SG = I4/mmm, No. 139
energy relative to the lowest polymorph listed for this composition = 178 meV per atom
raw total energy = -0.5830 Ry/atom
spin magnetization = 0.0 Bohr magnetons per cell

---

[2]
The following is a PBE calculation of an optimized crystal structure of RbAgPdSe3, from OQMD via LeMat-Bulk.

a = 7.8417 Å, b = 7.8417 Å, c = 10.4300 Å
α = 90.00°, β = 90.00°, γ = 151.40°
Last column: nearest neighbours and their distance in Å.
Positions (direct):
Rb1 0.2445 0.7555 0.7500  8 Se 3.49-3.71, 2 Ag 3.52, 2 Rb 3.87
Rb2 0.7555 0.2445 0.2500  8 Se 3.49-3.71, 2 Ag 3.52, 2 Rb 3.87
Ag1 0.4491 0.5509 0.2500  4 Se 2.59-2.62
Ag2 0.5509 0.4491 0.7500  4 Se 2.59-2.62
Pd1 0.0000 0.0000 0.0000  6 Se 2.57-2.79
Pd2 0.0000 0.0000 0.5000  6 Se 2.57-2.79
Se1 0.0649 0.9351 0.2500  2 Ag 2.62, 2 Pd 2.79
Se2 0.3892 0.6108 0.0179  2 Pd 2.57, 1 Ag 2.59
Se3 0.3892 0.6108 0.4821  2 Pd 2.57, 1 Ag 2.59
Se4 0.6108 0.3892 0.5179  2 Pd 2.57, 1 Ag 2.59
Se5 0.6108 0.3892 0.9821  2 Pd 2.57, 1 Ag 2.59
Se6 0.9351 0.0649 0.7500  2 Ag 2.62, 2 Pd 2.79

SG = Cmcm, No. 63
energy relative to the lowest polymorph listed for this composition = 73 meV per atom
raw total energy = -0.2637 Ry/atom

---

[3]
The following is a PBE calculation of an optimized crystal structure of Ni14Te, from OQMD via LeMat-Bulk.

a = 5.5122 Å, b = 3.5254 Å, c = 30.8363 Å
α = 90.00°, β = 90.26°, γ = 90.00°
Last column: nearest neighbours and their distance in Å.
Positions (direct):
Ni1 0.0430 0.2500 0.2928  9 Ni 2.45-2.53, 2 Te 2.64
Ni2 0.0501 0.2500 0.4732  12 Ni 2.46-2.49
Ni3 0.0515 0.2500 0.6523  12 Ni 2.47-2.50
Ni4 0.1500 0.7500 0.4194  12 Ni 2.47-2.49
Ni5 0.1506 0.7500 0.5982  12 Ni 2.46-2.49
Ni6 0.2489 0.2500 0.3656  12 Ni 2.47-2.51
Ni7 0.2501 0.2500 0.5446  12 Ni 2.46-2.48
Ni8 0.2530 0.2500 0.7249  8 Ni 2.44-2.50, 1 Te 2.61
Ni9 0.3487 0.7500 0.6700  12 Ni 2.45-2.50
Ni10 0.3500 0.7500 0.4910  12 Ni 2.46-2.48
Ni11 0.3534 0.7500 0.3124  11 Ni 2.45-2.53, 1 Te 2.70
Ni12 0.4501 0.2500 0.4374  12 Ni 2.46-2.48
Ni13 0.4499 0.2500 0.6162  12 Ni 2.45-2.49
Ni14 0.4542 0.2500 0.2585  6 Ni 2.44-2.51, 2 Te 2.54
Ni15 0.5458 0.7500 0.7415  6 Ni 2.44-2.51, 2 Te 2.54
Ni16 0.5501 0.7500 0.3838  12 Ni 2.45-2.49
Ni17 0.5499 0.7500 0.5626  12 Ni 2.46-2.48
Ni18 0.6466 0.2500 0.6876  11 Ni 2.45-2.53, 1 Te 2.70
Ni19 0.6500 0.2500 0.5090  12 Ni 2.46-2.48
Ni20 0.6513 0.2500 0.3300  12 Ni 2.45-2.50
Ni21 0.7470 0.7500 0.2751  8 Ni 2.44-2.50, 1 Te 2.61
Ni22 0.7499 0.7500 0.4554  12 Ni 2.46-2.48
Ni23 0.7511 0.7500 0.6344  12 Ni 2.47-2.51
Ni24 0.8494 0.2500 0.4018  12 Ni 2.46-2.49
Ni25 0.8500 0.2500 0.5806  12 Ni 2.47-2.49
Ni26 0.9485 0.7500 0.3477  12 Ni 2.47-2.50
Ni27 0.9499 0.7500 0.5268  12 Ni 2.46-2.49
Ni28 0.9570 0.7500 0.7072  9 Ni 2.45-2.53, 2 Te 2.64
Te1 0.1542 0.7500 0.2324  6 Ni 2.54-2.70
Te2 0.8458 0.2500 0.7676  6 Ni 2.54-2.70

SG = P2_1/m, No. 11
energy relative to the lowest polymorph listed for this composition = 0 meV per atom
raw total energy = -0.3951 Ry/atom
spin magnetization = 12.5 Bohr magnetons per cell

---

[4]
The following is a PBE calculation of an optimized crystal structure of Dy3Er2Lu2Te2Pd2, from OQMD via LeMat-Bulk.

a = 9.3570 Å, b = 9.3570 Å, c = 9.3570 Å
α = 155.80°, β = 67.05°, γ = 118.54°
Last column: nearest neighbours and their distance in Å.
Positions (direct):
Dy1 0.0000 0.0000 0.0000  3 Te 3.23-3.27
Dy2 0.0566 0.3741 0.6825  3 Pd 2.86-3.14, 1 Te 3.16
Dy3 0.6915 0.3741 0.3175  3 Pd 2.86-3.14, 1 Te 3.16
Er1 0.0930 0.7363 0.3567  2 Pd 2.92, 2 Te 3.14
Er2 0.3796 0.7363 0.6433  2 Pd 2.92, 2 Te 3.14
Lu1 0.4533 0.5839 0.8694  2 Pd 2.83, 3 Te 3.08-3.16
Lu2 0.7145 0.5839 0.1306  2 Pd 2.83, 3 Te 3.08-3.16
Te1 0.3421 0.3421 0.0000  2 Lu 3.08, 4 Er 3.14, 1 Dy 3.27
Te2 0.7314 0.2314 0.5000  4 Dy 3.16-3.23, 4 Lu 3.16
Pd1 0.3102 0.0714 0.2388  2 Lu 2.83, 3 Dy 2.86-3.14, 2 Er 2.92
Pd2 0.8327 0.0714 0.7612  2 Lu 2.83, 3 Dy 2.86-3.14, 2 Er 2.92

SG = Imm2, No. 44
energy relative to the lowest polymorph listed for this composition = 17 meV per atom
raw total energy = -0.3868 Ry/atom
spin magnetization = 0.0 Bohr magnetons per cell

---

[5]
The following is a PBE calculation of an optimized crystal structure of Y2Zn3Ni2, from OQMD via LeMat-Bulk.

a = 9.6225 Å, b = 9.6225 Å, c = 3.6225 Å
α = 90.00°, β = 90.00°, γ = 157.16°
Last column: nearest neighbours and their distance in Å.
Positions (direct):
Y1 0.1638 0.8362 0.0000  6 Ni 2.76-3.00, 1 Zn 3.09
Y2 0.8362 0.1638 0.0000  6 Ni 2.76-3.00, 1 Zn 3.09
Zn1 0.0000 0.0000 0.0000  8 Zn 2.94, 2 Y 3.09
Zn2 0.4299 0.5701 0.5000  1 Ni 2.62, 1 Zn 2.65
Zn3 0.5701 0.4299 0.5000  1 Ni 2.62, 1 Zn 2.65
Ni1 0.2909 0.7091 0.5000  2 Ni 2.45, 1 Zn 2.62
Ni2 0.7091 0.2909 0.5000  2 Ni 2.45, 1 Zn 2.62

SG = Cmmm, No. 65
energy relative to the lowest polymorph listed for this composition = 136 meV per atom
formation enthalpy at 0 K = -0.307 eV per atom
raw total energy = -0.3151 Ry/atom
spin magnetization = 0.0 Bohr magnetons per cell

---

[6]
The following is a PBE calculation of an optimized crystal structure of NiI2, from OQMD via LeMat-Bulk.

a = 7.2414 Å, b = 7.2414 Å, c = 6.8891 Å
α = 101.54°, β = 101.54°, γ = 35.10°
Last column: nearest neighbours and their distance in Å.
Positions (direct):
Ni1 0.0000 0.0000 0.0000  4 I 2.50-2.51
Ni2 0.0000 0.0000 0.5000  4 I 2.50-2.51
I1 0.0211 0.7268 0.6969  2 Ni 2.50-2.51
I2 0.2732 0.9789 0.8031  2 Ni 2.50-2.51
I3 0.7268 0.0211 0.1969  2 Ni 2.50-2.51
I4 0.9789 0.2732 0.3031  2 Ni 2.50-2.51

SG = C2/c, No. 15
raw total energy = -0.2159 Ry/atom
spin magnetization = 0.0 Bohr magnetons per cell

---

[7]
The following is a PBE calculation of an optimized crystal structure of NaPrSO, from OQMD via LeMat-Bulk.

a = 5.9738 Å, b = 9.9428 Å, c = 5.8407 Å
α = 90.00°, β = 90.00°, γ = 90.00°
Last column: nearest neighbours and their distance in Å.
Positions (direct):
Na1 0.0946 0.0696 0.0000  3 O 2.21-2.29
Na2 0.4054 0.0696 0.5000  3 O 2.21-2.29
Na3 0.5946 0.9304 0.0000  3 O 2.21-2.29
Na4 0.9054 0.9304 0.5000  3 O 2.21-2.29
Pr1 0.9996 0.3274 0.5837  1 O 2.08
Pr2 0.0004 0.6726 0.0837  1 O 2.08
Pr3 0.5004 0.3274 0.0837  1 O 2.08
Pr4 0.4996 0.6726 0.5837  1 O 2.08
S1 0.0097 0.6414 0.5875  5 Pr 2.91-3.12, 1 Na 2.98
S2 0.4903 0.6414 0.0875  5 Pr 2.91-3.12, 1 Na 2.98
S3 0.5097 0.3586 0.5875  5 Pr 2.91-3.12, 1 Na 2.98
S4 0.9903 0.3586 0.0875  5 Pr 2.91-3.12, 1 Na 2.98
O1 0.0535 0.1219 0.6203  1 Pr 2.08, 3 Na 2.21-2.29
O2 0.4465 0.1219 0.1203  1 Pr 2.08, 3 Na 2.21-2.29
O3 0.5535 0.8781 0.6203  1 Pr 2.08, 3 Na 2.21-2.29
O4 0.9465 0.8781 0.1203  1 Pr 2.08, 3 Na 2.21-2.29

SG = Pca2_1, No. 29
energy relative to the lowest polymorph listed for this composition = 166 meV per atom
raw total energy = -0.4282 Ry/atom
spin magnetization = 0.0 Bohr magnetons per cell

---

[8]
The following is a PBE calculation of an optimized crystal structure of ErTmC2Cl2, from OQMD via LeMat-Bulk.

a = 3.8740 Å, b = 3.8740 Å, c = 10.6004 Å
α = 95.12°, β = 95.12°, γ = 56.52°
Last column: nearest neighbours and their distance in Å.
Positions (direct):
Er1 0.0000 0.0000 0.0000  3 C 2.29-2.54
Tm1 0.2917 0.2917 0.2758  3 C 2.28-2.53
C1 0.5720 0.5720 0.1759  1 C 1.34
C2 0.7200 0.7200 0.1020  1 C 1.34
Cl1 0.3246 0.3246 0.8384  3 Er 2.70-2.93
Cl2 0.9656 0.9656 0.4360  3 Tm 2.69-2.93

SG = Cm, No. 8
raw total energy = -0.4735 Ry/atom
spin magnetization = 0.0 Bohr magnetons per cell

---

[9]
The following is a PBE calculation of an optimized crystal structure of LaUCd, from OQMD via LeMat-Bulk.

a = 5.0506 Å, b = 5.0506 Å, c = 5.0506 Å
α = 60.00°, β = 60.00°, γ = 60.00°
Last column: nearest neighbours and their distance in Å.
Positions (direct):
La1 0.0000 0.0000 0.0000  4 U 3.09
U1 0.7500 0.7500 0.7500  4 Cd 3.09, 4 La 3.09
Cd1 0.5000 0.5000 0.5000  4 U 3.09

SG = F-43m, No. 216
energy relative to the lowest polymorph listed for this composition = 0 meV per atom
formation enthalpy at 0 K = 0.841 eV per atom
raw total energy = -0.3575 Ry/atom
spin magnetization = 3.2 Bohr magnetons per cell

---

[10]
The following is a PBE calculation of an optimized crystal structure of FeSbMoPt, from OQMD via LeMat-Bulk.

a = 4.4889 Å, b = 4.4889 Å, c = 4.4889 Å
α = 60.00°, β = 60.00°, γ = 60.00°
Last column: nearest neighbours and their distance in Å.
Positions (direct):
Fe1 0.0000 0.0000 0.0000  4 Sb 2.75, 4 Pt 2.75
Sb1 0.7500 0.7500 0.7500  4 Mo 2.75, 4 Fe 2.75
Mo1 0.5000 0.5000 0.5000  4 Sb 2.75, 4 Pt 2.75
Pt1 0.2500 0.2500 0.2500  4 Mo 2.75, 4 Fe 2.75

SG = F-43m, No. 216
energy relative to the lowest polymorph listed for this composition = 0 meV per atom
raw total energy = -0.5276 Ry/atom
spin magnetization = 1.6 Bohr magnetons per cell

---

[11]
The following is a PBE calculation of an optimized crystal structure of Nb6Fe16Si7, from OQMD via LeMat-Bulk.

a = 7.9032 Å, b = 7.9032 Å, c = 7.9032 Å
α = 60.00°, β = 60.00°, γ = 60.00°
Last column: nearest neighbours and their distance in Å.
Positions (direct):
Nb1 0.2044 0.2044 0.7956  8 Fe 2.73-2.77, 4 Si 2.84
Nb2 0.2044 0.7956 0.2044  8 Fe 2.73-2.77, 4 Si 2.84
Nb3 0.2044 0.7956 0.7956  8 Fe 2.73-2.77, 4 Si 2.84
Nb4 0.7956 0.2044 0.2044  8 Fe 2.73-2.77, 4 Si 2.84
Nb5 0.7956 0.2044 0.7956  8 Fe 2.73-2.77, 4 Si 2.84
Nb6 0.7956 0.7956 0.2044  8 Fe 2.73-2.77, 4 Si 2.84
Fe1 0.1401 0.6200 0.6200  4 Si 2.32-2.45, 3 Fe 2.46
Fe2 0.1737 0.1737 0.1737  3 Si 2.29, 6 Fe 2.41-2.46
Fe3 0.1737 0.1737 0.4788  3 Si 2.29, 6 Fe 2.41-2.46
Fe4 0.1737 0.4788 0.1737  3 Si 2.29, 6 Fe 2.41-2.46
Fe5 0.3800 0.3800 0.3800  4 Si 2.32-2.45, 3 Fe 2.46
Fe6 0.3800 0.3800 0.8599  4 Si 2.32-2.45, 3 Fe 2.46
Fe7 0.3800 0.8599 0.3800  4 Si 2.32-2.45, 3 Fe 2.46
Fe8 0.4788 0.1737 0.1737  3 Si 2.29, 6 Fe 2.41-2.46
Fe9 0.5212 0.8263 0.8263  3 Si 2.29, 6 Fe 2.41-2.46
Fe10 0.6200 0.1401 0.6200  4 Si 2.32-2.45, 3 Fe 2.46
Fe11 0.6200 0.6200 0.1401  4 Si 2.32-2.45, 3 Fe 2.46
Fe12 0.6200 0.6200 0.6200  4 Si 2.32-2.45, 3 Fe 2.46
Fe13 0.8263 0.5212 0.8263  3 Si 2.29, 6 Fe 2.41-2.46
Fe14 0.8263 0.8263 0.5212  3 Si 2.29, 6 Fe 2.41-2.46
Fe15 0.8263 0.8263 0.8263  3 Si 2.29, 6 Fe 2.41-2.46
Fe16 0.8599 0.3800 0.3800  4 Si 2.32-2.45, 3 Fe 2.46
Si1 0.0000 0.0000 0.5000  8 Fe 2.29-2.45
Si2 0.0000 0.5000 0.0000  8 Fe 2.29-2.45
Si3 0.0000 0.5000 0.5000  8 Fe 2.29-2.45
Si4 0.5000 0.0000 0.0000  8 Fe 2.29-2.45
Si5 0.5000 0.0000 0.5000  8 Fe 2.29-2.45
Si6 0.5000 0.5000 0.0000  8 Fe 2.29-2.45
Si7 0.5000 0.5000 0.5000  8 Fe 2.32

SG = Fm-3m, No. 225
raw total energy = -0.6188 Ry/atom
spin magnetization = 4.0 Bohr magnetons per cell